1.
# Fe4SbOs2 (GGA-PBE, optimized geometry)
data_Fe4SbOs2
_chemical_formula_sum 'Fe8 Sb2 Os4'
_space_group_name_H-M_alt 'I 4/m m m'
_space_group_IT_number 139
_space_group_name_Hall '-I 4 2'
_cell_length_a 4.614
_cell_length_b 4.614
_cell_length_c 12.286
_cell_angle_alpha 90.00
_cell_angle_beta 90.00
_cell_angle_gamma 90.00
loop_
_atom_site_label
_atom_site_type_symbol
_atom_site_fract_x
_atom_site_fract_y
_atom_site_fract_z
Fe1 Fe 0.000 0.000 0.209
Fe2 Fe 0.000 0.500 0.000
Sb1 Sb 0.000 0.000 0.000
Os1 Os 0.000 0.000 0.397
# N(E_F) (states/eV/cell): 17.33
# Calculated volume (Å³ per cell): 262
# Total magnetization (Bohr magnetons per cell): 21.0
# Raw formation energy (eV/atom): 1.50


2.
# FeSbOs2 (GGA-PBE, optimized geometry)
data_FeSbOs2
_chemical_formula_sum 'Fe4 Sb4 Os8'
_space_group_name_H-M_alt 'F -4 3 m'
_space_group_IT_number 216
_space_group_name_Hall 'F -4 2 3'
_cell_length_a 6.263
_cell_length_b 6.263
_cell_length_c 6.263
_cell_angle_alpha 90.00
_cell_angle_beta 90.00
_cell_angle_gamma 90.00
loop_
_atom_site_label
_atom_site_type_symbol
_atom_site_fract_x
_atom_site_fract_y
_atom_site_fract_z
Fe1 Fe 0.000 0.000 0.000
Sb1 Sb 0.250 0.250 0.250
Os1 Os 0.000 0.000 0.500
Os2 Os 0.250 0.250 0.750
# N(E_F) (states/eV/cell): 16.75
# Calculated volume (Å³ per cell): 246
# Total magnetization (Bohr magnetons per cell): 9.5
# Raw formation energy (eV/atom): 0.63


3.
# FeSbOs2 (GGA-PBE, optimized geometry)
data_FeSbOs2
_chemical_formula_sum 'Fe1 Sb1 Os2'
_space_group_name_H-M_alt 'P 4/m m m'
_space_group_IT_number 123
_space_group_name_Hall '-P 4 2'
_cell_length_a 3.152
_cell_length_b 3.152
_cell_length_c 6.222
_cell_angle_alpha 90.00
_cell_angle_beta 90.00
_cell_angle_gamma 90.00
loop_
_atom_site_label
_atom_site_type_symbol
_atom_site_fract_x
_atom_site_fract_y
_atom_site_fract_z
Fe1 Fe 0.000 0.000 0.000
Sb1 Sb 0.000 0.000 0.500
Os1 Os 0.500 0.500 0.232
# N(E_F) (states/eV/cell): 3.34
# Calculated volume (Å³ per cell): 62
# Total magnetization (Bohr magnetons per cell): 4.0
# Raw formation energy (eV/atom): 0.50